# Cr2AgOsF (PBE+U, relaxed)
# Raw total energy in eV/cell: -27.7
# Space-group type: P4/mmm
data_Cr2AgOsF
_chemical_formula_sum 'Cr2 Ag1 Os1 F1'
_cell_length_a 4.985
_cell_length_b 4.025
_cell_length_c 4.985
_cell_angle_alpha 90.00
_cell_angle_beta 90.00
_cell_angle_gamma 90.00
_space_group_name_H-M_alt 'P 1'
_space_group_IT_number 1
loop_
_space_group_symop_operation_xyz
'x,y,z'
loop_
_atom_site_label
_atom_site_fract_x
_atom_site_fract_y
_atom_site_fract_z
Cr1 0.000 0.000 0.500
Cr2 0.500 0.000 0.000
F1 0.000 0.500 0.000
Os1 0.000 0.000 0.000
Ag1 0.500 0.500 0.500